(1)
# Ho2NpN3 PBE-GGA relaxed
# Total energy, eV per atom: -8.9967
# Calculated volume, Å³/cell: 355.5
# Uncorrected formation energy, eV per atom: -1.1513
data_Ho2NpN3
_cell_length_a 13.1910
_cell_length_b 3.3914
_cell_length_c 8.4213
_cell_angle_alpha 90.00
_cell_angle_beta 109.32
_cell_angle_gamma 90.00
_space_group_name_H-M_alt 'C 1 2/m 1'
_space_group_IT_number 12
loop_
_space_group_symop_operation_xyz
'x,y,z'
'-x,-y,-z'
'-x,y,-z'
'x,-y,z'
'x+1/2,y+1/2,z'
'-x+1/2,-y+1/2,-z'
'-x+1/2,y+1/2,-z'
'x+1/2,-y+1/2,z'
loop_
_atom_site_label
_atom_site_type_symbol
_atom_site_fract_x
_atom_site_fract_y
_atom_site_fract_z
_atom_site_occupancy
Ho1 Ho 0.1681 0.0000 0.3361 1
Ho2 Ho 0.1697 0.5000 0.8351 1
Np1 Np 0.0000 0.0000 0.5000 1
Np2 Np 0.0000 0.5000 0.0000 1
N1 N 0.0279 0.0000 0.8022 1
N2 N 0.1361 0.5000 0.5270 1
N3 N 0.1880 0.5000 0.1342 1


(2)
# Ho5NpN6 PBE-GGA relaxed
# Total energy, eV per atom: -8.7923
# Calculated volume, Å³/cell: 345.5
# Uncorrected formation energy, eV per atom: -1.6439
data_Ho5NpN6
_cell_length_a 5.9589
_cell_length_b 10.3247
_cell_length_c 5.9561
_cell_angle_alpha 90.00
_cell_angle_beta 109.45
_cell_angle_gamma 90.00
_space_group_name_H-M_alt 'C 1 2/m 1'
_space_group_IT_number 12
loop_
_space_group_symop_operation_xyz
'x,y,z'
'-x,-y,-z'
'-x,y,-z'
'x,-y,z'
'x+1/2,y+1/2,z'
'-x+1/2,-y+1/2,-z'
'-x+1/2,y+1/2,-z'
'x+1/2,-y+1/2,z'
loop_
_atom_site_label
_atom_site_type_symbol
_atom_site_fract_x
_atom_site_fract_y
_atom_site_fract_z
_atom_site_occupancy
Ho1 Ho 0.0000 0.0000 0.0000 1
Ho2 Ho 0.0000 0.1665 0.5000 1
Ho3 Ho 0.0000 0.3320 0.0000 1
Np1 Np 0.0000 0.5000 0.5000 1
N1 N 0.2397 0.5000 0.2588 1
N2 N 0.2423 0.3391 0.7441 1


(3)
# HoNpN PBE-GGA relaxed
# Total energy, eV per atom: -9.0226
# Calculated volume, Å³/cell: 231.6
# Uncorrected formation energy, eV per atom: -0.4080
data_HoNpN
_cell_length_a 5.7074
_cell_length_b 3.2888
_cell_length_c 12.3408
_cell_angle_alpha 90.00
_cell_angle_beta 90.00
_cell_angle_gamma 90.00
_space_group_name_H-M_alt 'P n m a'
_space_group_IT_number 62
loop_
_space_group_symop_operation_xyz
'x,y,z'
'-x,-y,-z'
'-x+1/2,-y,z+1/2'
'x+1/2,y,-z+1/2'
'x+1/2,-y+1/2,-z+1/2'
'-x+1/2,y+1/2,z+1/2'
'-x,y+1/2,-z'
'x,-y+1/2,z'
loop_
_atom_site_label
_atom_site_type_symbol
_atom_site_fract_x
_atom_site_fract_y
_atom_site_fract_z
_atom_site_occupancy
Ho1 Ho 0.1804 0.2500 0.2051 1
Np1 Np 0.1325 0.2500 0.4697 1
N1 N 0.0348 0.2500 0.6707 1


(4)
# HoNp2N3 PBE-GGA relaxed
# Total energy, eV per atom: -10.5466
# Calculated volume, Å³/cell: 173.9
# Uncorrected formation energy, eV per atom: -1.3074
data_HoNp2N3
_cell_length_a 3.4548
_cell_length_b 3.4548
_cell_length_c 14.5714
_cell_angle_alpha 90.00
_cell_angle_beta 90.00
_cell_angle_gamma 90.00
_space_group_name_H-M_alt 'I 4/m m m'
_space_group_IT_number 139
_space_group_name_Hall '-I 4 2'
loop_
_atom_site_label
_atom_site_type_symbol
_atom_site_fract_x
_atom_site_fract_y
_atom_site_fract_z
_atom_site_occupancy
Ho1 Ho 0.0000 0.0000 0.0000 1
Np1 Np 0.0000 0.0000 0.3342 1
N1 N 0.0000 0.0000 0.1666 1
N2 N 0.0000 0.0000 0.5000 1


(5)
# HoNp5N6 PBE-GGA relaxed
# Total energy, eV per atom: -11.1420
# Calculated volume, Å³/cell: 348.9
# Uncorrected formation energy, eV per atom: -1.2059
data_HoNp5N6
_cell_length_a 5.9766
_cell_length_b 10.3535
_cell_length_c 5.9779
_cell_angle_alpha 90.00
_cell_angle_beta 109.42
_cell_angle_gamma 90.00
_space_group_name_H-M_alt 'C 1 2/m 1'
_space_group_IT_number 12
loop_
_space_group_symop_operation_xyz
'x,y,z'
'-x,-y,-z'
'-x,y,-z'
'x,-y,z'
'x+1/2,y+1/2,z'
'-x+1/2,-y+1/2,-z'
'-x+1/2,y+1/2,-z'
'x+1/2,-y+1/2,z'
loop_
_atom_site_label
_atom_site_type_symbol
_atom_site_fract_x
_atom_site_fract_y
_atom_site_fract_z
_atom_site_occupancy
Ho1 Ho 0.0000 0.0000 0.0000 1
Np1 Np 0.0000 0.1654 0.5000 1
Np2 Np 0.0000 0.3331 0.0000 1
Np3 Np 0.0000 0.5000 0.5000 1
N1 N 0.2477 0.5000 0.2514 1
N2 N 0.2486 0.3318 0.7497 1


(6)
# HoNp2PaN4 PBE-GGA relaxed
# Total energy, eV per atom: -10.5317
# Calculated volume, Å³/cell: 117.7
# Uncorrected formation energy, eV per atom: -1.3746
data_HoNp2PaN4
_cell_length_a 5.9995
_cell_length_b 3.4604
_cell_length_c 6.0111
_cell_angle_alpha 90.00
_cell_angle_beta 109.41
_cell_angle_gamma 90.00
_space_group_name_H-M_alt 'P 1 2/m 1'
_space_group_IT_number 10
loop_
_space_group_symop_operation_xyz
'x,y,z'
'-x,-y,-z'
'-x,y,-z'
'x,-y,z'
loop_
_atom_site_label
_atom_site_type_symbol
_atom_site_fract_x
_atom_site_fract_y
_atom_site_fract_z
_atom_site_occupancy
Ho1 Ho 0.0000 0.0000 0.0000 1
Np1 Np 0.0000 0.5000 0.5000 1
Np2 Np 0.5000 0.0000 0.5000 1
Pa1 Pa 0.5000 0.5000 0.0000 1
N1 N 0.2508 0.0000 0.7537 1
N2 N 0.2533 0.5000 0.2524 1